First-principles (PBE) data for a geometry-optimized CsLaPaS4 structure, as listed in Alexandria.

Summary:
theoretical density	4.4	Mg/m³
magnetization	2.1	μB/cell
formation energy (no corrections)	-1.707	eV per atom
symmetry	Imma (74)

Cell: 8.456 8.805 9.032 Å, 120.85 90.00 118.70°
Sites, in units of the cell vectors:
1 Cs 0.865 0.730 0.115
2 Cs 0.135 0.270 0.885
3 La 0.500 0.000 0.500
4 La 0.500 0.000 0.000
5 Pa 0.500 0.500 0.500
6 Pa 0.000 0.500 0.500
7 S 0.731 0.462 0.676
8 S 0.320 0.068 0.284
9 S 0.748 0.068 0.284
10 S 0.731 0.462 0.286
11 S 0.269 0.538 0.714
12 S 0.680 0.932 0.716
13 S 0.252 0.932 0.716
14 S 0.269 0.538 0.324

First-principles (PBE) data for a geometry-optimized KCoP3 structure, as listed in Alexandria.

Summary:
theoretical density	3.3	Mg/m³
magnetization	0.0	μB/cell
E_form	34	kJ per mole of atoms
symmetry	Pm-3m (221)

Cell: 4.559 4.559 4.559 Å, 90.00 90.00 90.00°
Sites, in units of the cell vectors:
1 P 0.000 0.500 0.000
2 P 0.000 0.000 0.500
3 P 0.500 0.000 0.000
4 K 0.500 0.500 0.500
5 Co 0.000 0.000 0.000

Q: theoretical density of number 1 (CsLaPaS4)?
A: 4.4 Mg/m³

Q: What is the magnetization in the first record?
A: 2.1 μB/cell

Q: Which value of theoretical density does entry 2 give?
A: 3.3 Mg/m³